Compound: KCd9Au3
Source: Alexandria
Functional: PBE
Structure: optimized geometry

CIF file:
```
data_KCd9Au3
_chemical_formula_sum 'K2 Cd18 Au6'
_cell_length_a 5.7345
_cell_length_b 14.1482
_cell_length_c 7.7284
_cell_angle_alpha 90.00
_cell_angle_beta 109.80
_cell_angle_gamma 90.00
_space_group_name_H-M_alt 'C 1 2/m 1'
_space_group_IT_number 12
_space_group_name_Hall '-C 2y'
loop_
_atom_site_label
_atom_site_type_symbol
_atom_site_fract_x
_atom_site_fract_y
_atom_site_fract_z
_atom_site_occupancy
K1 K 0.0000 0.0000 0.0000 1
Cd1 Cd 0.0000 0.0000 0.5000 1
Cd2 Cd 0.1006 0.3914 0.2132 1
Cd3 Cd 0.1702 0.1782 0.3439 1
Au1 Au 0.0000 0.5000 0.5000 1
Au2 Au 0.2500 0.2500 0.0000 1
```

Summary:
DOS(E_F) = 9.8 states/eV/cell
energy of formation from the pure elements = -0.139 eV/atom

Compound: K2Cd3Au5
Source: Alexandria
Functional: PBE
Structure: optimized geometry

CIF file:
```
data_K2Cd3Au5
_chemical_formula_sum 'K8 Cd12 Au20'
_cell_length_a 11.4114
_cell_length_b 13.9198
_cell_length_c 6.5086
_cell_angle_alpha 90.00
_cell_angle_beta 90.00
_cell_angle_gamma 90.00
_space_group_name_H-M_alt 'I b a m'
_space_group_IT_number 72
_space_group_name_Hall '-I 2 2c'
loop_
_atom_site_label
_atom_site_type_symbol
_atom_site_fract_x
_atom_site_fract_y
_atom_site_fract_z
_atom_site_occupancy
K1 K 0.2316 0.1280 0.0000 1
Cd1 Cd 0.0000 0.5000 0.2500 1
Cd2 Cd 0.0980 0.1433 0.5000 1
Au1 Au 0.0000 0.0000 0.2500 1
Au2 Au 0.0000 0.2881 0.2500 1
Au3 Au 0.1636 0.3870 0.0000 1
```

Summary:
DOS(E_F) = 8.5 states/eV/cell
energy of formation from the pure elements = -0.225 eV/atom

Compound: KCd8Au4
Source: Alexandria
Functional: PBE
Structure: optimized geometry

CIF file:
```
data_KCd8Au4
_chemical_formula_sum 'K2 Cd16 Au8'
_cell_length_a 10.1498
_cell_length_b 10.1498
_cell_length_c 5.6192
_cell_angle_alpha 90.00
_cell_angle_beta 90.00
_cell_angle_gamma 90.00
_space_group_name_H-M_alt 'I 4/m m m'
_space_group_IT_number 139
_space_group_name_Hall '-I 4 2'
loop_
_atom_site_label
_atom_site_type_symbol
_atom_site_fract_x
_atom_site_fract_y
_atom_site_fract_z
_atom_site_occupancy
K1 K 0.0000 0.0000 0.0000 1
Cd1 Cd 0.0000 0.2194 0.5000 1
Cd2 Cd 0.0000 0.3520 0.0000 1
Au1 Au 0.2500 0.2500 0.2500 1
```

Summary:
DOS(E_F) = 8.3 states/eV/cell
energy of formation from the pure elements = -0.166 eV/atom

Compound: KCd4Au4
Source: Alexandria
Functional: PBE
Structure: optimized geometry

CIF file:
```
data_KCd4Au4
_chemical_formula_sum 'K2 Cd8 Au8'
_cell_length_a 7.0510
_cell_length_b 7.0510
_cell_length_c 9.1163
_cell_angle_alpha 90.00
_cell_angle_beta 90.00
_cell_angle_gamma 90.00
_space_group_name_H-M_alt 'P 42/n m c'
_space_group_IT_number 137
loop_
_space_group_symop_operation_xyz
'x,y,z'
'-x,-y,-z'
'-y+1/2,x,z+1/2'
'y+1/2,-x,-z+1/2'
'-x+1/2,-y+1/2,z'
'x+1/2,y+1/2,-z'
'y,-x+1/2,z+1/2'
'-y,x+1/2,-z+1/2'
'x+1/2,-y,-z'
'-x+1/2,y,z'
'-y,-x,-z+1/2'
'y,x,z+1/2'
'-x,y+1/2,-z'
'x,-y+1/2,z'
'y+1/2,x+1/2,-z+1/2'
'-y+1/2,-x+1/2,z+1/2'
loop_
_atom_site_label
_atom_site_type_symbol
_atom_site_fract_x
_atom_site_fract_y
_atom_site_fract_z
_atom_site_occupancy
K1 K 0.2500 0.7500 0.2500 1
Cd1 Cd 0.0036 0.7500 0.6317 1
Au1 Au 0.0544 0.2500 0.0608 1
```

Summary:
ΔE to the lowest computed polymorph = 0.00 eV/f.u.
DOS(E_F) = 3.2 states/eV/cell
energy of formation from the pure elements = -0.212 eV/atom

Compound: K3Cd4Au4
Source: Alexandria
Functional: PBE
Structure: optimized geometry

CIF file:
```
data_K3Cd4Au4
_chemical_formula_sum 'K6 Cd8 Au8'
_cell_length_a 8.7024
_cell_length_b 8.7024
_cell_length_c 8.7024
_cell_angle_alpha 90.00
_cell_angle_beta 90.00
_cell_angle_gamma 90.00
_space_group_name_H-M_alt 'I -4 3 m'
_space_group_IT_number 217
_space_group_name_Hall 'I -4 2 3'
loop_
_atom_site_label
_atom_site_type_symbol
_atom_site_fract_x
_atom_site_fract_y
_atom_site_fract_z
_atom_site_occupancy
K1 K 0.0000 0.0000 0.5000 1
Cd1 Cd 0.1279 0.1279 0.8721 1
Au1 Au 0.1915 0.1915 0.1915 1
```

Summary:
DOS(E_F) = 3.4 states/eV/cell
energy of formation from the pure elements = -0.257 eV/atom

Compound: K4CdAu2
Source: Alexandria
Functional: PBE
Structure: optimized geometry

CIF file:
```
data_K4CdAu2
_chemical_formula_sum 'K12 Cd3 Au6'
_cell_length_a 5.7068
_cell_length_b 5.7068
_cell_length_c 30.5201
_cell_angle_alpha 90.00
_cell_angle_beta 90.00
_cell_angle_gamma 120.00
_space_group_name_H-M_alt 'R -3 m'
_space_group_IT_number 166
_space_group_name_Hall '-R 3 2"'
loop_
_atom_site_label
_atom_site_type_symbol
_atom_site_fract_x
_atom_site_fract_y
_atom_site_fract_z
_atom_site_occupancy
K1 K 0.0000 0.0000 0.1157 1
K2 K 0.0000 0.0000 0.2935 1
Cd1 Cd 0.0000 0.0000 0.5000 1
Au1 Au 0.0000 0.0000 0.4071 1
```

Summary:
ΔE to the lowest computed polymorph = 0.00 eV/f.u.
DOS(E_F) = 10.3 states/eV/cell
energy of formation from the pure elements = -0.214 eV/atom

Calculated uncorrected energy, -1.613; -2.358; -1.822; -2.197; -2.081; -1.908 eV per atom (same order as the records).